# 1
A relaxed structure of ZrGa, computed with PBE.

a = 7.5068 Å, b = 7.5068 Å, c = 7.5068 Å
α = 90.00°, β = 90.00°, γ = 90.00°
Sites, in units of the cell vectors:
Ga: 0.2500 0.0000 0.5000
Zr: 0.5000 0.0000 0.2500
Zr: 0.0000 0.2500 0.5000
Zr: 0.7500 0.5000 0.0000
Zr: 0.0000 0.7500 0.5000
Ga: 0.7500 0.0000 0.5000
Zr: 0.5000 0.0000 0.7500
Ga: 0.5000 0.2500 0.0000
Zr: 0.2500 0.5000 0.0000
Ga: 0.0000 0.5000 0.2500
Ga: 0.5000 0.7500 0.0000
Ga: 0.0000 0.5000 0.7500

D(E_F): 1.06 states/eV/atom
spin magnetization: 0.000 μB per atom
E_form: 0.893 eV/atom

=====

# 2
A relaxed structure of Zr3Ga4, computed with PBE.

a = 3.8889 Å, b = 5.4496 Å, c = 13.2829 Å
α = 90.00°, β = 90.00°, γ = 110.90°
Sites, in units of the cell vectors:
Ga: 0.0013 0.0025 0.5004
Zr: 0.3035 0.6070 0.9006
Ga: 0.5924 0.1848 0.6048
Ga: 0.5924 0.1847 0.8959
Zr: 0.0148 0.0295 0.7504
Zr: 0.9875 0.9750 0.2503
Zr: 0.3035 0.6070 0.6001
Ga: 0.7453 0.4906 0.7504
Zr: 0.6987 0.3974 0.1001
Ga: 0.0011 0.0022 0.0003
Ga: 0.4098 0.8196 0.1048
Ga: 0.2570 0.5139 0.2504
Ga: 0.4101 0.8201 0.3959
Zr: 0.6989 0.3978 0.4007

D(E_F): 0.62 states/eV/atom
spin magnetization: 0.000 μB per atom
E_form: -0.566 eV/atom

=====

# 3
A relaxed structure of ZrGa, computed with PBE.

a = 3.8924 Å, b = 3.8924 Å, c = 10.6479 Å
α = 100.53°, β = 100.53°, γ = 90.00°
Sites, in units of the cell vectors:
Ga: 0.0848 0.5848 0.1696
Zr: 0.9471 0.4471 0.8943
Ga: 0.3348 0.3348 0.6696
Ga: 0.6652 0.6652 0.3304
Zr: 0.5529 0.0529 0.1057
Zr: 0.8029 0.8029 0.6057
Ga: 0.4152 0.9152 0.8304
Zr: 0.1971 0.1971 0.3943

D(E_F): 0.65 states/eV/atom
spin magnetization: 0.000 μB per atom
E_form: -0.631 eV/atom

=====

# 4
A relaxed structure of Zr2Ga, computed with PBE.

a = 5.4833 Å, b = 5.4833 Å, c = 5.4833 Å
α = 104.25°, β = 104.25°, γ = 120.51°
Sites, in units of the cell vectors:
Ga: 0.2500 0.2500 0.0000
Zr: 0.1537 0.6537 0.8073
Zr: 0.3463 0.1537 0.5000
Ga: 0.7500 0.7500 0.0000
Zr: 0.8463 0.3463 0.1927
Zr: 0.6537 0.8463 0.5000

D(E_F): 1.05 states/eV/atom
spin magnetization: 0.000 μB per atom
E_form: -0.467 eV/atom

=====

# 5
A relaxed structure of ZrGa, computed with PBE.

a = 7.7827 Å, b = 7.7827 Å, c = 5.4853 Å
α = 90.00°, β = 90.00°, γ = 90.00°
Sites, in units of the cell vectors:
Zr: 0.8035 0.5603 0.5000
Ga: 0.5851 0.2834 0.0000
Ga: 0.4149 0.7166 0.0000
Zr: 0.1965 0.4397 0.5000
Ga: 0.2834 0.4149 0.0000
Zr: 0.0603 0.6965 0.0000
Ga: 0.7834 0.9149 0.5000
Ga: 0.7166 0.5851 0.0000
Zr: 0.5603 0.1965 0.5000
Zr: 0.4397 0.8035 0.5000
Ga: 0.2166 0.0851 0.5000
Ga: 0.9149 0.2166 0.5000
Zr: 0.6965 0.9397 0.0000
Zr: 0.3035 0.0603 0.0000
Zr: 0.9397 0.3035 0.0000
Ga: 0.0851 0.7834 0.5000

D(E_F): 0.80 states/eV/atom
spin magnetization: 0.000 μB per atom
E_form: -0.251 eV/atom

=====

# 6
A relaxed structure of Zr2Ga3, computed with PBE.

a = 5.7418 Å, b = 7.1646 Å, c = 8.9836 Å
α = 90.00°, β = 90.00°, γ = 90.00°
Sites, in units of the cell vectors:
Zr: 0.6211 0.6823 0.5848
Ga: 0.8584 0.5244 0.8616
Zr: 0.8789 0.8177 0.0848
Ga: 0.1416 0.5244 0.6384
Ga: 0.8584 0.4756 0.3616
Ga: 0.6416 0.9756 0.3616
Ga: 0.1416 0.4756 0.1384
Ga: 0.6416 0.0244 0.8616
Zr: 0.8789 0.1823 0.5848
Ga: 0.0000 0.8541 0.7500
Ga: 0.3584 0.0244 0.6384
Ga: 0.5000 0.6459 0.2500
Zr: 0.3789 0.6823 0.9152
Zr: 0.1211 0.1823 0.9152
Ga: 0.5000 0.3541 0.7500
Zr: 0.6211 0.3177 0.0848
Ga: 0.0000 0.1459 0.2500
Zr: 0.3789 0.3177 0.4152
Ga: 0.3584 0.9756 0.1384
Zr: 0.1211 0.8177 0.4152

D(E_F): 0.58 states/eV/atom
spin magnetization: 0.000 μB per atom
E_form: -0.468 eV/atom

=====

# 7
A relaxed structure of Zr2Ga, computed with PBE.

a = 3.0478 Å, b = 7.2161 Å, c = 6.5356 Å
α = 89.99°, β = 90.01°, γ = 114.99°
Sites, in units of the cell vectors:
Zr: 0.6768 0.6769 0.1770
Zr: 0.8230 0.8231 0.6770
Zr: 0.3232 0.3231 0.8230
Ga: 0.0000 0.5000 0.5000
Zr: 0.1770 0.1769 0.3230
Ga: 0.5000 0.0000 0.0000

D(E_F): 1.12 states/eV/atom
spin magnetization: 0.000 μB per atom
E_form: -0.129 eV/atom

=====

# 8
A relaxed structure of Zr3Ga, computed with PBE.

a = 4.3616 Å, b = 4.3616 Å, c = 4.3616 Å
α = 90.00°, β = 90.00°, γ = 90.00°
Sites, in units of the cell vectors:
Zr: 0.0000 0.5000 0.5000
Ga: 0.0000 0.0000 0.0000
Zr: 0.5000 0.5000 0.0000
Zr: 0.5000 0.0000 0.5000

D(E_F): 1.04 states/eV/atom
spin magnetization: 0.000 μB per atom
E_form: -0.327 eV/atom

=====

# 9
A relaxed structure of Zr3Ga5, computed with PBE.

a = 5.7057 Å, b = 5.7057 Å, c = 9.0932 Å
α = 90.00°, β = 90.00°, γ = 102.39°
Sites, in units of the cell vectors:
Ga: 0.4979 0.0789 0.2500
Ga: 0.0168 0.0168 0.2500
Ga: 0.5021 0.9211 0.7500
Ga: 0.3158 0.3158 0.4499
Zr: 0.3634 0.3634 0.7500
Ga: 0.3158 0.3158 0.0501
Zr: 0.2049 0.7951 0.0000
Zr: 0.7951 0.2049 0.0000
Ga: 0.9211 0.5021 0.7500
Ga: 0.6842 0.6842 0.5501
Ga: 0.0789 0.4979 0.2500
Zr: 0.7951 0.2049 0.5000
Zr: 0.6366 0.6366 0.2500
Ga: 0.9832 0.9832 0.7500
Ga: 0.6842 0.6842 0.9499
Zr: 0.2049 0.7951 0.5000

D(E_F): 0.37 states/eV/atom
spin magnetization: 0.000 μB per atom
E_form: -0.602 eV/atom
excess energy over the best structure of this formula in the dataset: 0.00 eV per formula unit

=====

# 10
A relaxed structure of ZrGa, computed with PBE.

a = 6.1213 Å, b = 6.1213 Å, c = 6.1213 Å
α = 90.00°, β = 90.00°, γ = 90.00°
Sites, in units of the cell vectors:
Ga: 0.2500 0.7500 0.7500
Zr: 0.0000 0.5000 0.5000
Ga: 0.2500 0.2500 0.2500
Zr: 0.5000 0.0000 0.5000
Ga: 0.7500 0.7500 0.2500
Zr: 0.0000 0.0000 0.0000
Ga: 0.7500 0.2500 0.7500
Zr: 0.5000 0.5000 0.0000

D(E_F): 1.20 states/eV/atom
spin magnetization: 0.000 μB per atom
E_form: 0.795 eV/atom

=====

# 11
A relaxed structure of Zr3Ga, computed with PBE.

a = 3.1918 Å, b = 5.2843 Å, c = 5.9092 Å
α = 116.56°, β = 105.67°, γ = 90.00°
Sites, in units of the cell vectors:
Zr: 0.7340 0.0759 0.4680
Ga: 0.0000 0.0102 0.0000
Zr: 0.5000 0.4727 0.0000
Zr: 0.2660 0.6079 0.5320

D(E_F): 1.00 states/eV/atom
spin magnetization: 0.000 μB per atom
E_form: -0.232 eV/atom

=====

# 12
A relaxed structure of Zr3Ga7, computed with PBE.

a = 4.0396 Å, b = 5.8140 Å, c = 7.9903 Å
α = 99.58°, β = 104.64°, γ = 90.00°
Sites, in units of the cell vectors:
Zr: 0.0000 0.0000 0.0000
Ga: 0.5930 0.7924 0.1861
Ga: 0.4070 0.2076 0.8139
Ga: 0.7899 0.8969 0.5797
Ga: 0.2101 0.1031 0.4203
Ga: 0.6076 0.2806 0.2152
Ga: 0.0000 0.5000 0.0000
Ga: 0.3924 0.7194 0.7848
Zr: 0.8166 0.4074 0.6332
Zr: 0.1834 0.5926 0.3668

D(E_F): 0.43 states/eV/atom
spin magnetization: 0.000 μB per atom
E_form: -0.521 eV/atom

=====

Question: Which formula does entry 11 have?
Answer: Zr3Ga